(1)
# MgMnRh4

A relaxed MgMnRh4 crystal (PBE-GGA, Alexandria via LeMat-Bulk).

Lattice parameters (Å, degrees): 5.429 5.234 7.259 114.50 81.46 74.27
Site moments in Bohr magnetons follow the coordinates.
Positions (direct):
1 Rh 0.709 0.255 0.480  -0.10
2 Rh 0.630 0.756 0.199  -0.10
3 Rh 0.965 0.747 0.848  -0.12
4 Rh 0.464 0.761 0.861  -0.16
5 Rh 0.291 0.745 0.520  -0.10
6 Rh 0.536 0.239 0.139  -0.16
7 Rh 0.035 0.253 0.152  -0.12
8 Rh 0.370 0.244 0.801  -0.10
9 Mn 0.219 0.248 0.472  3.31
10 Mn 0.781 0.752 0.528  3.31
11 Mg 0.866 0.259 0.818  0.00
12 Mg 0.134 0.741 0.182  0.00

Values from the calculation:
Energy above the lowest structure with this stoichiometry: 0.0 meV per atom
Uncorrected energy: -82.7 eV per cell
Formation energy: -0.193 eV per atom
Magnetic moment: 2.964 μB per formula unit


(2)
# MgMn2Rh

A relaxed MgMn2Rh crystal (PBE-GGA, Alexandria via LeMat-Bulk).

Lattice parameters (Å, degrees): 5.195 5.195 4.413 64.97 64.97 34.94
Site moments in Bohr magnetons follow the coordinates.
Positions (direct):
1 Mn 0.479 0.479 0.521  3.41
2 Mn 0.021 0.021 0.979  3.41
3 Mg 0.250 0.250 0.250  -0.04
4 Rh 0.750 0.750 0.750  0.38

Values from the calculation:
Uncorrected energy: -27.1 eV per cell
Formation energy: 0.058 eV per atom
Magnetic moment: 7.318 μB per formula unit


(3)
# MgMnRh

A relaxed MgMnRh crystal (PBE-GGA, Alexandria via LeMat-Bulk).

Lattice parameters (Å, degrees): 4.441 6.648 3.076 90.00 90.00 70.50
Positions (direct):
1 Rh 0.530 0.804 0.460
2 Rh 0.187 0.491 0.460
3 Mg 0.360 0.144 0.960
4 Mg 0.702 0.460 0.960
5 Mn 0.902 0.060 0.460
6 Mn 0.017 0.831 0.960

Values from the calculation:
Uncorrected energy: -36.5 eV per cell
Formation energy: -0.037 eV per atom
Magnetic moment: 0.000 μB per formula unit


(4)
# MgMnRh

A relaxed MgMnRh crystal (PBE-GGA, Alexandria via LeMat-Bulk).

Lattice parameters (Å, degrees): 4.793 2.886 6.948 101.98 97.52 72.49
Site moments in Bohr magnetons follow the coordinates.
Positions (direct):
1 Mn 0.153 0.777 0.822  1.54
2 Mn 0.274 0.092 0.575  1.53
3 Rh 0.714 0.434 0.698  0.00
4 Rh 0.214 0.934 0.198  0.00
5 Mg 0.624 0.138 0.015  0.00
6 Mg 0.803 0.731 0.381  0.00

Values from the calculation:
Uncorrected energy: -36.1 eV per cell
Formation energy: 0.021 eV per atom
Magnetic moment: 1.593 μB per formula unit


(5)
# MgMnRh

A relaxed MgMnRh crystal (PBE-GGA, Alexandria via LeMat-Bulk).

Lattice parameters (Å, degrees): 4.119 4.119 4.119 60.00 60.00 60.00
Site moments in Bohr magnetons follow the coordinates.
Positions (direct):
1 Mn 0.250 0.250 0.250  0.61
2 Mg 0.750 0.750 0.750  -0.01
3 Rh 0.500 0.500 0.500  -0.07

Values from the calculation:
Uncorrected energy: -16.9 eV per cell
Formation energy: 0.418 eV per atom
Magnetic moment: 0.517 μB per formula unit


(6)
# MgMn2Rh2

A relaxed MgMn2Rh2 crystal (PBE-GGA, Alexandria via LeMat-Bulk).

Lattice parameters (Å, degrees): 7.180 7.180 2.704 90.00 90.00 90.00
Positions (direct):
1 Mn 0.392 0.892 0.000
2 Mn 0.892 0.608 0.000
3 Mn 0.108 0.392 0.000
4 Mn 0.608 0.108 0.000
5 Mg 0.500 0.500 0.000
6 Mg 0.000 0.000 0.000
7 Rh 0.818 0.318 0.500
8 Rh 0.682 0.818 0.500
9 Rh 0.318 0.182 0.500
10 Rh 0.182 0.682 0.500

Values from the calculation:
Energy above the lowest structure with this stoichiometry: 108.0 meV per atom
Uncorrected energy: -69.1 eV per cell
Formation energy: 0.013 eV per atom
Magnetic moment: 0.001 μB per formula unit


(7)
# MgMn2Rh

A relaxed MgMn2Rh crystal (PBE-GGA, Alexandria via LeMat-Bulk).

Lattice parameters (Å, degrees): 3.127 3.127 6.001 90.00 90.00 90.00
Site moments in Bohr magnetons follow the coordinates.
Positions (direct):
1 Mg 0.500 0.500 0.738  0.01
2 Mn 0.000 0.000 0.041  -2.93
3 Mn 0.500 0.500 0.237  3.26
4 Rh 0.000 0.000 0.485  0.34

Values from the calculation:
Uncorrected energy: -27.6 eV per cell
Formation energy: -0.081 eV per atom
Magnetic moment: 0.708 μB per formula unit


(8)
# MgMnRh2

A relaxed MgMnRh2 crystal (PBE-GGA, Alexandria via LeMat-Bulk).

Lattice parameters (Å, degrees): 4.892 4.892 4.892 134.68 134.68 66.02
Site moments in Bohr magnetons follow the coordinates.
Positions (direct):
1 Rh 0.000 0.000 0.000  -0.25
2 Rh 0.250 0.750 0.500  -0.17
3 Mg 0.500 0.500 0.000  -0.02
4 Mn 0.750 0.250 0.500  3.33

Values from the calculation:
Uncorrected energy: -26.3 eV per cell
Formation energy: -0.201 eV per atom
Magnetic moment: 2.992 μB per formula unit


(9)
# MgMnRh4

A relaxed MgMnRh4 crystal (PBE-GGA, Alexandria via LeMat-Bulk).

Lattice parameters (Å, degrees): 5.140 5.140 5.140 60.00 60.00 60.00
Site moments in Bohr magnetons follow the coordinates.
Positions (direct):
1 Mg 0.250 0.250 0.250  -0.01
2 Rh 0.125 0.625 0.625  0.17
3 Rh 0.625 0.625 0.625  0.17
4 Rh 0.625 0.125 0.625  0.17
5 Rh 0.625 0.625 0.125  0.17
6 Mn 0.000 0.000 0.000  4.05

Values from the calculation:
Energy above the lowest structure with this stoichiometry: 161.6 meV per atom
Uncorrected energy: -40.4 eV per cell
Formation energy: -0.032 eV per atom
Magnetic moment: 4.935 μB per formula unit


(10)
# MgMn2Rh

A relaxed MgMn2Rh crystal (PBE-GGA, Alexandria via LeMat-Bulk).

Lattice parameters (Å, degrees): 3.113 3.113 6.567 90.00 90.00 89.96
Site moments in Bohr magnetons follow the coordinates.
Positions (direct):
1 Rh 0.500 0.500 0.250  0.70
2 Mn 0.000 0.000 0.026  3.70
3 Mn 0.000 0.000 0.474  3.70
4 Mg 0.500 0.500 0.750  -0.05

Values from the calculation:
Uncorrected energy: -27.1 eV per cell
Formation energy: 0.043 eV per atom
Magnetic moment: 8.249 μB per formula unit


(11)
# MgMn2Rh

A relaxed MgMn2Rh crystal (PBE-GGA, Alexandria via LeMat-Bulk).

Lattice parameters (Å, degrees): 4.272 2.801 5.301 76.06 90.00 90.00
Site moments in Bohr magnetons follow the coordinates.
Positions (direct):
1 Mg 0.500 0.750 0.750  -0.04
2 Rh 0.500 0.250 0.250  0.50
3 Mn 0.000 0.057 0.021  3.46
4 Mn 0.000 0.443 0.479  3.46

Values from the calculation:
Uncorrected energy: -26.9 eV per cell
Formation energy: 0.088 eV per atom
Magnetic moment: 7.583 μB per formula unit


(12)
# MgMnRh2

A relaxed MgMnRh2 crystal (PBE-GGA, Alexandria via LeMat-Bulk).

Lattice parameters (Å, degrees): 4.555 4.555 4.898 78.76 78.76 36.58
Site moments in Bohr magnetons follow the coordinates.
Positions (direct):
1 Mn 0.250 0.250 0.250  3.53
2 Mg 0.750 0.750 0.750  -0.01
3 Rh 0.505 0.505 0.493  0.27
4 Rh 0.995 0.995 0.007  0.27

Values from the calculation:
Uncorrected energy: -26.2 eV per cell
Formation energy: -0.172 eV per atom
Magnetic moment: 4.220 μB per formula unit


(13)
# Mg6MnRh5

A relaxed Mg6MnRh5 crystal (PBE-GGA, Alexandria via LeMat-Bulk).

Lattice parameters (Å, degrees): 4.414 6.323 7.025 90.00 108.26 90.00
Site moments in Bohr magnetons follow the coordinates.
Positions (direct):
1 Mn 0.000 0.000 0.000  3.81
2 Mg 0.827 0.745 0.653  0.00
3 Mg 0.827 0.255 0.653  0.00
4 Mg 0.173 0.255 0.347  0.00
5 Mg 0.173 0.745 0.347  0.00
6 Mg 0.500 0.732 0.000  -0.01
7 Mg 0.500 0.268 0.000  -0.01
8 Rh 0.346 0.000 0.692  0.14
9 Rh 0.665 0.500 0.329  0.07
10 Rh 0.335 0.500 0.671  0.07
11 Rh 0.000 0.500 0.000  0.12
12 Rh 0.654 0.000 0.308  0.14

Values from the calculation:
Uncorrected energy: -60.3 eV per cell
Formation energy: -0.400 eV per atom
Magnetic moment: 4.523 μB per formula unit


(14)
# MgMn4Rh5

A relaxed MgMn4Rh5 crystal (PBE-GGA, Alexandria via LeMat-Bulk).

Lattice parameters (Å, degrees): 3.042 3.042 15.336 90.00 90.00 90.00
Site moments in Bohr magnetons follow the coordinates.
Positions (direct):
1 Mn 0.000 0.000 0.599  3.47
2 Mn 0.000 0.000 0.203  3.37
3 Mn 0.000 0.000 0.797  3.37
4 Mn 0.000 0.000 0.401  3.47
5 Rh 0.500 0.500 0.500  0.56
6 Rh 0.500 0.500 0.303  0.50
7 Rh 0.500 0.500 0.108  0.26
8 Rh 0.500 0.500 0.892  0.26
9 Rh 0.500 0.500 0.697  0.50
10 Mg 0.000 0.000 0.000  -0.01

Values from the calculation:
Uncorrected energy: -77.5 eV per cell
Formation energy: -0.249 eV per atom
Magnetic moment: 16.091 μB per formula unit


(15)
# MgMn2Rh

A relaxed MgMn2Rh crystal (PBE-GGA, Alexandria via LeMat-Bulk).

Lattice parameters (Å, degrees): 4.403 4.403 4.403 120.12 120.12 89.79
Site moments in Bohr magnetons follow the coordinates.
Positions (direct):
1 Mn 0.000 0.000 0.000  3.62
2 Mn 0.250 0.750 0.500  3.49
3 Mg 0.750 0.250 0.500  -0.04
4 Rh 0.500 0.500 0.000  0.40

Values from the calculation:
Uncorrected energy: -27.2 eV per cell
Formation energy: 0.029 eV per atom
Magnetic moment: 7.642 μB per formula unit


(16)
# Mg4MnRh15

A relaxed Mg4MnRh15 crystal (PBE-GGA, Alexandria via LeMat-Bulk).

Lattice parameters (Å, degrees): 3.880 3.880 19.251 90.00 90.00 90.00
Site moments in Bohr magnetons follow the coordinates.
Positions (direct):
1 Rh 0.000 0.500 0.299  0.00
2 Rh 0.500 0.000 0.096  -0.09
3 Rh 0.000 0.500 0.096  -0.09
4 Rh 0.500 0.000 0.701  0.00
5 Rh 0.500 0.500 0.399  0.03
6 Rh 0.500 0.500 0.198  -0.03
7 Rh 0.500 0.000 0.299  0.00
8 Rh 0.000 0.500 0.701  0.00
9 Rh 0.000 0.500 0.500  0.01
10 Rh 0.500 0.500 0.601  0.03
11 Rh 0.500 0.000 0.500  0.01
12 Rh 0.000 0.500 0.904  -0.09
13 Rh 0.500 0.000 0.904  -0.09
14 Rh 0.500 0.500 0.000  -0.09
15 Rh 0.500 0.500 0.802  -0.03
16 Mg 0.000 0.000 0.802  0.01
17 Mg 0.000 0.000 0.198  0.01
18 Mg 0.000 0.000 0.399  0.00
19 Mg 0.000 0.000 0.601  0.00
20 Mn 0.000 0.000 0.000  3.15

Values from the calculation:
Uncorrected energy: -129.6 eV per cell
Formation energy: -0.191 eV per atom
Magnetic moment: 2.894 μB per formula unit


(17)
# MgMnRh

A relaxed MgMnRh crystal (PBE-GGA, Alexandria via LeMat-Bulk).

Lattice parameters (Å, degrees): 4.443 4.443 5.532 90.00 90.00 120.00
Site moments in Bohr magnetons follow the coordinates.
Positions (direct):
1 Mg 0.000 0.000 0.500  -0.02
2 Mg 0.000 0.000 0.000  -0.02
3 Mn 0.333 0.667 0.250  3.54
4 Mn 0.667 0.333 0.750  3.54
5 Rh 0.667 0.333 0.250  0.23
6 Rh 0.333 0.667 0.750  0.23

Values from the calculation:
Uncorrected energy: -36.8 eV per cell
Formation energy: -0.101 eV per atom
Magnetic moment: 3.901 μB per formula unit


(18)
# Mg2MnRh9

A relaxed Mg2MnRh9 crystal (PBE-GGA, Alexandria via LeMat-Bulk).

Lattice parameters (Å, degrees): 3.852 3.852 11.642 90.00 90.00 90.00
Site moments in Bohr magnetons follow the coordinates.
Positions (direct):
1 Rh 0.500 0.500 0.330  -0.02
2 Rh 0.500 0.500 0.000  -0.07
3 Rh 0.500 0.000 0.500  0.01
4 Rh 0.500 0.000 0.160  -0.09
5 Rh 0.000 0.500 0.500  0.01
6 Rh 0.500 0.000 0.840  -0.09
7 Rh 0.000 0.500 0.160  -0.09
8 Rh 0.000 0.500 0.840  -0.09
9 Rh 0.500 0.500 0.670  -0.02
10 Mn 0.000 0.000 0.000  3.14
11 Mg 0.000 0.000 0.668  0.00
12 Mg 0.000 0.000 0.332  0.00

Values from the calculation:
Uncorrected energy: -80.7 eV per cell
Formation energy: -0.178 eV per atom
Magnetic moment: 2.844 μB per formula unit


(19)
# MgMnRh2

A relaxed MgMnRh2 crystal (PBE-GGA, Alexandria via LeMat-Bulk).

Lattice parameters (Å, degrees): 5.049 5.049 4.516 70.14 70.14 33.56
Site moments in Bohr magnetons follow the coordinates.
Positions (direct):
1 Mn 0.262 0.262 0.182  3.66
2 Rh 0.741 0.741 0.689  0.24
3 Rh 0.005 0.005 0.065  0.19
4 Mg 0.491 0.491 0.564  -0.02

Values from the calculation:
Uncorrected energy: -26.4 eV per cell
Formation energy: -0.228 eV per atom
Magnetic moment: 4.207 μB per formula unit


(20)
# MgMnRh2

A relaxed MgMnRh2 crystal (PBE-GGA, Alexandria via LeMat-Bulk).

Lattice parameters (Å, degrees): 3.267 3.267 5.611 90.00 90.00 90.00
Site moments in Bohr magnetons follow the coordinates.
Positions (direct):
1 Rh 0.000 0.000 0.970  0.12
2 Rh 0.500 0.500 0.263  0.07
3 Mn 0.500 0.500 0.780  3.27
4 Mg 0.000 0.000 0.487  -0.02

Values from the calculation:
Uncorrected energy: -25.8 eV per cell
Formation energy: -0.073 eV per atom
Magnetic moment: 3.568 μB per formula unit